Entry 1:
Hf2AgSnOs | PBEsol | optimized geometry

Structure (POSCAR):
```
Hf2AgSnOs
1.0
-4.4710 -1.4801 0.1125
1.0181 -3.3411 -3.4968
1.1784 -3.2944 3.4908
Os Ag Sn Hf
1 1 1 2
direct
0.5000 0.5000 0.5000
0.0000 0.0000 0.0000
0.5000 0.0000 0.0000
0.0000 0.0000 0.5000
0.0000 0.5000 0.0000
```

Results
Its space-group type is P4/mmm. Its total magnetization is 0.41 μB/cell. Its formation enthalpy at 0 K is 1512 meV/atom.

---

Entry 2:
Te6Mo2W | PBEsol | optimized geometry

Structure (POSCAR):
```
Te6Mo2W
1.0
3.4923 0.0000 0.0000
-1.7462 3.0244 0.0000
0.0000 0.0000 21.9132
Te Mo W
6 2 1
direct
0.3333 0.6667 0.7647
0.3333 0.6667 0.6001
0.3333 0.6667 0.2353
0.6667 0.3333 0.0829
0.3333 0.6667 0.3999
0.6667 0.3333 0.9171
0.6667 0.3333 0.6824
0.6667 0.3333 0.3176
0.3333 0.6667 0.0000
```

Results
Its space-group type is P-6m2. As for the formation energy (no corrections): -0.21 eV per atom. Its total magnetization is 0.00 μB/cell.

---

Entry 3:
CrCo2Os | PBEsol | optimized geometry

Structure (POSCAR):
```
CrCo2Os
1.0
-0.7636 -3.1082 -1.4568
-0.7977 -1.2909 3.1723
-2.6667 3.2520 -1.2963
Co Os Cr
2 1 1
direct
0.2500 0.7500 0.5000
0.7500 0.2500 0.5000
0.0000 0.0000 0.0000
0.5000 0.5000 0.0000
```

Results
Its space-group type is I4/mmm. The energy above the most stable polymorph in this dataset is 3 meV per atom. Its total magnetization is 0.39 μB/cell. Its formation enthalpy at 0 K is 33 meV/atom.

---

Entry 4:
Al5Ag7 | PBEsol | optimized geometry

Structure (POSCAR):
```
Al5Ag7
1.0
2.9750 0.0000 0.0000
0.0000 7.6867 0.0000
0.0000 -3.8434 8.4729
Al Ag
5 7
direct
0.0000 0.1805 0.8329
0.5000 0.8416 0.6832
0.5000 0.0016 0.0033
0.0000 0.6524 0.8329
0.5000 0.6589 0.3178
0.5000 0.1698 0.3397
0.0000 0.8346 0.1614
0.0000 0.9759 0.5043
0.0000 0.5284 0.5043
0.5000 0.3320 0.6640
0.0000 0.3269 0.1614
0.5000 0.4974 0.9948
```

Results
Its space-group type is Amm2. The energy above the most stable polymorph in this dataset is 7 meV per atom. Its total magnetization is 0.00 μB/cell. Its formation enthalpy at 0 K is -73 meV/atom.